Entry from the Alexandria database: a relaxed Pr3PN crystal (GGA-PBE).

Values from the calculation:
Formation energy (no corrections)   -1.008 eV/atom
Spin magnetization   0.00 μB/f.u.

abc: 6.815 4.051 10.586
angles: 90.00 99.64 90.00
Element x y z (fractional)
1 Pr 0.169 0.250 0.105
2 Pr 0.245 0.750 0.430
3 Pr 0.280 0.250 0.764
4 Pr 0.720 0.750 0.236
5 Pr 0.755 0.250 0.570
6 Pr 0.831 0.750 0.895
7 P 0.479 0.250 0.334
8 P 0.521 0.750 0.666
9 N 0.009 0.250 0.874
10 N 0.991 0.750 0.126